Record 1
PBE Cd2HgTe, relaxed; symmetry = I-42d (122); energy = -1.36 eV/atom; crystal system = tetragonal; DOS at the Fermi energy = 1.9 states/eV per cell
1.0
-0.168 5.362 -5.859
1.898 -5.664 -5.238
-2.683 -0.846 -6.083
Te Hg Cd
2 2 4
direct
0.500 0.500 0.000
0.250 0.750 0.500
0.000 0.000 0.000
0.750 0.250 0.500
0.622 0.125 0.250
0.128 0.625 0.250
0.375 0.378 0.750
0.875 0.872 0.750



Record 2
PBE TiN2F2, relaxed; symmetry = P4/mmm (123); energy = -6.14 eV/atom; crystal system = tetragonal; DOS at the Fermi energy = 2.0 states/eV per cell
1.0
-1.098 -3.733 0.530
3.759 -1.127 -0.149
0.299 0.474 3.956
N F Ti
2 2 1
direct
0.500 0.500 0.500
0.000 0.000 0.500
0.000 0.500 0.000
0.500 0.000 0.000
0.000 0.000 0.000



Record 3
PBE AlInAu, relaxed; symmetry = P3m1 (156); E_form = -0.312 eV per formula unit; energy = -3.36 eV/atom; crystal system = trigonal; DOS at the Fermi energy = 1.2 states/eV per cell
1.0
4.389 0.000 0.000
-2.195 3.801 0.000
0.000 0.000 3.848
Au Al In
1 1 1
direct
0.667 0.333 0.168
0.000 0.000 0.166
0.333 0.667 0.667



Record 4
PBE Tb5Fe2Hg, relaxed; symmetry = I4/mcm (140); E_form = -1.024 eV per formula unit; energy = -5.18 eV/atom; crystal system = tetragonal; DOS at the Fermi energy = 16.6 states/eV per cell
1.0
-6.222 -3.515 2.315
2.448 -6.384 -3.111
5.086 3.245 6.412
Tb Fe Hg
10 4 2
direct
0.537 0.692 0.728
0.808 0.963 0.272
0.000 0.000 0.000
0.500 0.500 0.000
0.192 0.037 0.728
0.692 0.192 0.728
0.037 0.537 0.728
0.308 0.808 0.272
0.963 0.463 0.272
0.463 0.308 0.272
0.107 0.393 0.000
0.607 0.107 0.000
0.393 0.893 0.000
0.893 0.607 0.000
0.750 0.750 0.500
0.250 0.250 0.500



| no. | volume (Å³ per atom) |
| --- | --- |
| 1 | 28.8 |
| 2 | 12.3 |
| 3 | 21.4 |
| 4 | 24.8 |